Entry i
4
Lattice="-0.212 -3.638 -0.838 1.894 2.325 -2.233 9.999 -2.045 6.349" Properties=species:S:1:pos:R:3 comment="GGA-PBE AcPm2Y, relaxed" volume_a3_per_cell=146 pbc="T T T"
Y 6.614 0.511 1.127
Pm 3.526 -0.992 0.078
Ac 0.209 -2.446 -1.117
Pm 8.295 -1.967 3.106

Entry ii
4
Lattice="3.739 0.000 0.000 0.000 3.739 0.000 0.000 0.000 10.412" Properties=species:S:1:pos:R:3 comment="GGA-PBE AcPm2Y, relaxed" volume_a3_per_cell=146 pbc="T T T"
Pm 0.000 0.000 2.476
Pm 0.000 0.000 7.936
Ac 1.870 1.870 5.206
Y 1.870 1.870 0.000

Entry iii
4
Lattice="-4.926 3.271 0.283 -4.275 -0.732 -4.029 -5.133 -2.508 1.553" Properties=species:S:1:pos:R:3 comment="GGA-PBE AcPm2Y, relaxed" volume_a3_per_cell=147 pbc="T T T"
Pm -3.583 0.008 -0.548
Y -7.167 0.015 -1.097
Ac 0.000 0.000 0.000
Pm -10.750 0.023 -1.645

Going by the energies, entry i is most stable and the next is 7 meV per atom up.

Entry i
4
Lattice="3.738 0.001 0.000 1.870 3.236 0.000 1.869 1.079 12.057" Properties=species:S:1:pos:R:3 comment="GGA-PBE AcPm2Y, relaxed" volume_a3_per_cell=146 pbc="T T T"
Y 3.736 2.157 0.007
Pm 1.870 1.080 2.880
Ac 3.736 2.157 6.026
Pm 1.873 1.081 9.173

Entry ii
4
Lattice="-1.340 -3.939 3.260 1.610 -3.488 -3.552 4.798 0.092 2.084" Properties=species:S:1:pos:R:3 comment="GGA-PBE AcPm2Y, relaxed" volume_a3_per_cell=145 pbc="T T T"
Y -0.670 -1.969 1.630
Ac 2.534 -3.667 0.896
Pm 2.399 0.046 1.042
Pm 0.805 -1.744 -1.776

Going by the energies, entry ii is most stable and the next is 11 meV per atom up.

Entry i
4
Lattice="3.735 0.000 0.000 1.867 3.234 0.000 1.867 1.078 12.055" Properties=species:S:1:pos:R:3 comment="GGA-PBE AcPm2Y, relaxed" volume_a3_per_cell=146 pbc="T T T"
Y 3.735 2.156 6.027
Pm 5.602 3.234 8.926
Ac 0.000 0.000 0.000
Pm 1.867 1.078 3.129

Entry ii
8
Lattice="-0.556 3.604 -0.824 -2.700 0.174 2.580 14.080 5.461 14.370" Properties=species:S:1:pos:R:3 comment="GGA-PBE AcPm2Y, relaxed" volume_a3_per_cell=291 pbc="T T T"
Pm 12.430 6.081 13.956
Ac 5.207 3.280 6.584
Ac 5.617 5.959 9.543
Y 1.698 1.920 3.002
Pm 9.091 4.785 10.548
Pm 1.733 4.454 5.578
Y 9.126 7.319 13.124
Pm -1.606 3.158 2.170

Going by the energies, entry ii is most stable and the next is 6 meV per atom up.